A.
Entry from Alexandria via LeMat-Bulk: crystalline ScCo2Ru at its relaxed geometry (PBE).

Geometry as POSCAR:
```
ScCo2Ru
1.0
8.7900 0.0000 0.0000
0.0000 2.7814 0.0000
-1.0346 0.0000 4.4541
Sc Co Ru
2 4 2
direct
0.0000 0.0000 0.0000
0.5000 0.5000 0.0000
0.2608 0.5000 0.2373
0.4917 0.0000 0.4985
0.7608 0.0000 0.2373
0.9917 0.5000 0.4985
0.2313 0.0000 0.6691
0.7313 0.5000 0.6691
```

Values from the calculation:
As for the magnetization: 2.0 μB per cell.

---

B.
Entry from Alexandria via LeMat-Bulk: crystalline ScCo2Ru at its relaxed geometry (PBE).

Geometry as POSCAR:
```
ScCo2Ru
1.0
3.0967 0.0000 0.0000
0.0000 4.2474 0.0000
0.0000 0.0000 8.5122
Sc Co Ru
2 4 2
direct
0.0000 0.0000 0.0000
0.5000 0.5000 0.5000
0.0000 0.0000 0.4938
0.0000 0.5000 0.7593
0.5000 0.0000 0.2593
0.5000 0.5000 0.9938
0.0000 0.5000 0.2395
0.5000 0.0000 0.7395
```

Values from the calculation:
As for the magnetization: 7.7 μB per cell.

---

Tell me which of them is the least stable. Sure, it is A.

---

A.
Entry from Alexandria via LeMat-Bulk: crystalline LiB2C2 at its relaxed geometry (PBE).

Geometry as POSCAR:
```
LiB2C2
1.0
4.7218 0.0000 0.0000
-0.0015 5.3636 0.0000
-2.2875 -1.3433 7.2865
Li B C
4 8 8
direct
0.0000 0.0000 0.0000
0.0000 0.5000 0.0000
0.2538 0.1464 0.4996
0.7462 0.8536 0.5004
0.0349 0.1880 0.7459
0.0388 0.6860 0.7492
0.4609 0.5586 0.2434
0.4642 0.0623 0.2452
0.5358 0.9377 0.7548
0.5391 0.4414 0.7566
0.9612 0.3140 0.2508
0.9651 0.8120 0.2541
0.2038 0.9368 0.7448
0.2101 0.4377 0.7513
0.2852 0.3092 0.2416
0.2921 0.8122 0.2488
0.7079 0.1878 0.7512
0.7148 0.6908 0.7584
0.7899 0.5623 0.2487
0.7962 0.0632 0.2552
```

Values from the calculation:
As for the magnetization: 0.0 μB per cell.

---

B.
Entry from Alexandria via LeMat-Bulk: crystalline LiB2C2 at its relaxed geometry (PBE).

Geometry as POSCAR:
```
LiB2C2
1.0
2.7270 0.0000 0.0000
-0.0109 4.6608 0.0000
-1.2424 -2.1763 13.7679
Li B C
4 8 8
direct
0.0000 0.0000 0.0000
0.1314 0.1123 0.2606
0.4998 0.4990 0.0002
0.7612 0.7366 0.5220
0.0583 0.3964 0.1303
0.1937 0.8140 0.3847
0.3293 0.6480 0.6643
0.4387 0.1054 0.8685
0.5571 0.8900 0.1262
0.7007 0.3207 0.4006
0.8238 0.1431 0.6516
0.9382 0.6048 0.8676
0.0592 0.7267 0.1236
0.2038 0.4828 0.4008
0.3204 0.9812 0.6489
0.4396 0.7702 0.8724
0.5612 0.2286 0.1287
0.6966 0.9754 0.3844
0.8268 0.4879 0.6629
0.9395 0.2698 0.8726
```

Values from the calculation:
As for the magnetization: 0.0 μB per cell.

---

Tell me which of them is the least stable. Sure, it is B.